Entry 1:
The following is a PBE calculation of an optimized crystal structure of Cu3NiN, from Alexandria via LeMat-Bulk.

The space group is Pm-3m (No. 221) and the conventional cell measures 3.810, 3.810 and 3.810 Å, with angles of 90.00, 90.00 and 90.00 degrees. Symmetry generates all atoms from Cu at (0.000, 0.000, 0.500), Ni at (0.500, 0.500, 0.500) and N at (0.000, 0.000, 0.000).

The formation energy (no corrections) is 0.336 eV per atom. Its energy above the most stable polymorph in this dataset is 0.00 eV/f.u.

=====

Entry 2:
The following is a PBE calculation of an optimized crystal structure of CuNi3N, from Alexandria via LeMat-Bulk.

The space group is R-3c (No. 167, hexagonal axes) and the conventional cell measures 6.8078, 6.8078 and 7.7471 Å, with angles of 90.00, 90.00 and 120.00 degrees. Symmetry generates all atoms from Cu at (0.0000, 0.0000, 0.0000), Ni at (0.0000, 0.2689, 0.2500) and N at (0.0000, 0.0000, 0.2500).

The formation energy (no corrections) is 0.253 eV per atom. Its energy above the most stable polymorph in this dataset is 1.32 eV/f.u.

=====

Entry 3:
The following is a PBE calculation of an optimized crystal structure of CuNi3N, from Alexandria via LeMat-Bulk.

The space group is Fd-3m (No. 227, origin choice 2) and the conventional cell measures 9.808, 9.808 and 9.808 Å, with angles of 90.00, 90.00 and 90.00 degrees. Symmetry generates all atoms from Cu at (0.000, 0.000, 0.000), Ni at (0.067, 0.375, 0.875) and N at (0.000, 0.000, 0.500).

The formation energy (no corrections) is 0.151 eV per atom. Its energy above the most stable polymorph in this dataset is 0.81 eV/f.u.

=====

Entry 4:
The following is a PBE calculation of an optimized crystal structure of CuNi3N, from Alexandria via LeMat-Bulk.

The space group is Pnma (No. 62) and the conventional cell measures 4.655, 6.759 and 6.947 Å, with angles of 90.00, 90.00 and 90.00 degrees. Symmetry generates all atoms from Cu at (0.000, 0.000, 0.000), Ni at (0.002, 0.071, 0.344), Ni at (0.249, 0.750, 0.245) and N at (0.006, 0.750, 0.459).

The formation energy (no corrections) is 0.276 eV per atom. Its energy above the most stable polymorph in this dataset is 1.43 eV/f.u.

=====

Entry 5:
The following is a PBE calculation of an optimized crystal structure of CuNi3N, from Alexandria via LeMat-Bulk.

The space group is Cmc2_1 (No. 36) and the conventional cell measures 4.953, 8.511 and 4.856 Å, with angles of 90.00, 90.00 and 90.00 degrees. Symmetry generates all atoms from Cu at (0.000, 0.023, 0.000), Ni at (0.000, 0.467, 0.207), Ni at (0.245, 0.280, 0.823) and N at (0.000, 0.334, 0.532).

The formation energy (no corrections) is 0.054 eV per atom. Its energy above the most stable polymorph in this dataset is 0.32 eV/f.u.

=====

Entry 6:
The following is a PBE calculation of an optimized crystal structure of CuNiN, from Alexandria via LeMat-Bulk.

The space group is P-1 (No. 2) and the conventional cell measures 2.690, 2.744 and 9.093 Å, with angles of 98.65, 98.47 and 90.01 degrees. Symmetry generates all atoms from Cu at (0.116, 0.115, 0.231), Ni at (0.290, 0.290, 0.580) and N at (0.033, 0.533, 0.066).

The formation energy (no corrections) is 0.298 eV per atom. Its energy above the most stable polymorph in this dataset is 0.00 eV/f.u.